First-principles (PBE) data for a relaxed structure of Mn2InPt, as listed in Alexandria.

Properties
ΔH_f (0 K), meV/atom: -38
Mass density, g/cm3: 10.5
Space-group type: P4/mmm, No. 123

The structure in POSCAR format:
```
Mn2InPt
1.0
-0.427 1.855 2.266
-1.071 -2.230 1.624
6.987 -1.502 2.545
In Mn Pt
1 2 1
direct
0.500 0.500 0.750
0.000 0.000 0.023
0.000 0.000 0.477
0.500 0.500 0.250
```

---

First-principles (PBE) data for a relaxed structure of Ca6Zn2H, as listed in Alexandria.

Properties
Mass density, g/cm3: 2.2
Space-group type: C2/m, No. 12
ΔE to the lowest computed polymorph, meV per atom: 103

The structure in POSCAR format:
```
Ca6Zn2H
1.0
3.889 0.000 0.000
1.945 6.589 0.395
1.945 1.757 11.114
Ca Zn H
6 2 1
direct
0.820 0.260 0.099
0.180 0.740 0.901
0.351 0.748 0.551
0.030 0.714 0.226
0.970 0.286 0.774
0.649 0.252 0.449
0.329 0.043 0.299
0.671 0.957 0.701
0.000 0.000 0.000
```